(1)
An optimized crystal structure of SmEr2Tm6Sc3. Source: the Alexandria database, functional PBE.

## Properties
Symmetry   C2/m, No. 12

Cell: 5.984 5.984 11.387 Å, 95.02 95.02 119.96°
Positions (direct):
Sm 0.000 0.000 0.000
Er 0.333 0.667 0.000
Er 0.667 0.333 0.000
Tm 0.086 0.420 0.259
Tm 0.247 0.247 0.741
Tm 0.420 0.086 0.259
Tm 0.580 0.914 0.741
Tm 0.753 0.753 0.259
Tm 0.914 0.580 0.741
Sc 0.167 0.833 0.500
Sc 0.500 0.500 0.500
Sc 0.833 0.167 0.500

=====

(2)
An optimized crystal structure of LiSmPd. Source: the Alexandria database, functional PBE.

## Properties
Symmetry   P-6m2, No. 187
Offset from the most stable computed form   101 meV/atom

Cell: 4.380 4.380 3.787 Å, 90.00 90.00 120.00°
Positions (direct):
Li 0.000 0.000 0.000
Sm 0.667 0.333 0.500
Pd 0.333 0.667 0.000

=====

(3)
An optimized crystal structure of LiTbTlAu. Source: the Alexandria database, functional PBE.

## Properties
Symmetry   F-43m, No. 216

Cell: 5.000 5.000 5.000 Å, 60.00 60.00 60.00°
Positions (direct):
Li 0.000 0.000 0.000
Tb 0.500 0.500 0.500
Tl 0.250 0.250 0.250
Au 0.750 0.750 0.750

=====

(4)
An optimized crystal structure of Pm2InCu9. Source: the Alexandria database, functional PBE.

## Properties
Symmetry   R-3m, No. 166

Cell: 8.924 8.924 8.924 Å, 33.47 33.47 33.47°
Positions (direct):
Pm 0.136 0.136 0.136
Pm 0.864 0.864 0.864
In 0.000 0.000 0.000
Cu 0.079 0.581 0.581
Cu 0.333 0.333 0.333
Cu 0.419 0.419 0.921
Cu 0.419 0.921 0.419
Cu 0.500 0.500 0.500
Cu 0.581 0.079 0.581
Cu 0.581 0.581 0.079
Cu 0.667 0.667 0.667
Cu 0.921 0.419 0.419

=====

(5)
An optimized crystal structure of SmY3Er7. Source: the Alexandria database, functional PBE.

## Properties
Symmetry   Immm, No. 71
Offset from the most stable computed form   112 meV/atom

Cell: 8.387 8.387 8.387 Å, 139.90 97.05 96.45°
Positions (direct):
Sm 0.000 0.000 0.000
Y 0.294 0.500 0.794
Y 0.500 0.000 0.500
Y 0.706 0.500 0.206
Er 0.000 0.500 0.500
Er 0.098 0.793 0.305
Er 0.291 0.291 0.000
Er 0.489 0.793 0.695
Er 0.511 0.207 0.305
Er 0.709 0.709 0.000
Er 0.902 0.207 0.695

=====

(6)
An optimized crystal structure of NdLuZnRu. Source: the Alexandria database, functional PBE.

## Properties
Symmetry   F-43m, No. 216

Cell: 4.952 4.952 4.952 Å, 60.00 60.00 60.00°
Positions (direct):
Nd 0.000 0.000 0.000
Lu 0.500 0.500 0.500
Zn 0.250 0.250 0.250
Ru 0.750 0.750 0.750

=====

(7)
An optimized crystal structure of Li5Br2O2. Source: the Alexandria database, functional PBE.

## Properties
Symmetry   C2/m, No. 12

Cell: 6.096 6.096 6.496 Å, 106.91 106.91 36.69°
Positions (direct):
Li 0.000 0.000 0.000
Li 0.158 0.158 0.614
Li 0.329 0.329 0.039
Li 0.671 0.671 0.961
Li 0.842 0.842 0.386
Br 0.394 0.394 0.667
Br 0.606 0.606 0.333
O 0.148 0.148 0.897
O 0.852 0.852 0.103

=====

(8)
An optimized crystal structure of NaPa3N2O6. Source: the Alexandria database, functional PBE.

## Properties
Symmetry   C2/m, No. 12

Cell: 6.814 6.814 4.845 Å, 94.03 94.03 63.60°
Positions (direct):
Na 0.000 0.000 0.000
Pa 0.000 0.500 0.000
Pa 0.500 0.000 0.000
Pa 0.500 0.500 0.500
N 0.333 0.333 0.757
N 0.667 0.667 0.243
O 0.185 0.185 0.176
O 0.197 0.628 0.245
O 0.372 0.803 0.755
O 0.628 0.197 0.245
O 0.803 0.372 0.755
O 0.815 0.815 0.824

=====

no.,DOS at the Fermi energy (states/eV/f.u.),E_tot (eV/atom)
1,18.4,-4.9280
2,1.8,-4.4085
3,1.6,-3.5403
4,5.7,-4.1698
5,17.3,-4.8224
6,3.0,-5.2580
7,2.0,-4.0114
8,1.2,-8.8023